Below is Sr2LiMg after structural relaxation, with properties calculated at the GGA-PBE level.

Structure (POSCAR):
```
Sr2LiMg
1.0
4.103 0.000 0.000
0.000 5.987 0.000
0.000 0.000 12.091
Sr Li Mg
4 2 2
direct
0.000 0.000 0.000
0.000 0.500 0.210
0.500 0.000 0.710
0.500 0.500 0.500
0.000 0.500 0.764
0.500 0.000 0.264
0.000 0.000 0.447
0.500 0.500 0.947
```

Summary:
formation energy from the elements = 0.01 eV/atom
SG = No. 44
crystal system = orthorhombic
theoretical density = 2.3 g/cm3